# 1
Density functional theory data (PBE+U) for crystalline NiTePbO6 at its relaxed geometry.

Results
The total energy comes out at -5.231 eV/atom. As for the total magnetization: 2.0 μB/f.u.

Cell lengths 5.3820, 5.3820, 8.9272 Å; angles 90.00, 90.00, 120.00 degrees
Last column: nearest neighbours and their distance in Å.
Element x y z (fractional)
O 0.3280 0.9668 0.6268  1 Te 1.97, 1 Ni 2.18, 1 Pb 2.20
O 0.6720 0.0332 0.3732  1 Te 1.97, 1 Ni 2.18, 1 Pb 2.20
O 0.9668 0.3280 0.1268  1 Te 1.97, 1 Ni 2.18, 1 Pb 2.20
O 0.3280 0.3612 0.8732  1 Te 1.97, 1 Ni 2.18, 1 Pb 2.20
O 0.9668 0.6388 0.3732  1 Te 1.97, 1 Ni 2.18, 1 Pb 2.20
O 0.0332 0.6720 0.8732  1 Te 1.97, 1 Ni 2.18, 1 Pb 2.20
O 0.6388 0.6720 0.6268  1 Te 1.97, 1 Ni 2.18, 1 Pb 2.20
O 0.3612 0.3280 0.3732  1 Te 1.97, 1 Ni 2.18, 1 Pb 2.20
O 0.3612 0.0332 0.1268  1 Te 1.97, 1 Ni 2.18, 1 Pb 2.20
O 0.6720 0.6388 0.1268  1 Te 1.97, 1 Ni 2.18, 1 Pb 2.20
O 0.0332 0.3612 0.6268  1 Te 1.97, 1 Ni 2.18, 1 Pb 2.20
O 0.6388 0.9668 0.8732  1 Te 1.97, 1 Ni 2.18, 1 Pb 2.20
Ni 0.0000 0.0000 0.5000  6 O 2.18
Ni 0.0000 0.0000 0.0000  6 O 2.18
Pb 0.6667 0.3333 0.7500  6 O 2.20
Pb 0.3333 0.6667 0.2500  6 O 2.20
Te 0.3333 0.6667 0.7500  6 O 1.97
Te 0.6667 0.3333 0.2500  6 O 1.97

# 2
Density functional theory data (PBE+U) for crystalline TiNiPb2O at its relaxed geometry.

Results
The total energy comes out at -4.500 eV/atom. As for the total magnetization: 2.0 μB/f.u.

Cell lengths 5.4186, 5.4186, 3.7476 Å; angles 90.00, 90.00, 90.00 degrees
Last column: nearest neighbours and their distance in Å.
Element x y z (fractional)
Pb 0.0000 0.5000 0.0000  2 O 2.71
Pb 0.5000 0.0000 0.0000  2 O 2.71
Ti 0.5000 0.5000 0.5000  8 Pb 3.29
Ni 0.0000 0.0000 0.5000  2 O 1.87
O 0.0000 0.0000 0.0000  2 Ni 1.87

# 3
Density functional theory data (PBE+U) for crystalline Tl2Ni2PbO6 at its relaxed geometry.

Results
The total energy comes out at -4.664 eV/atom. As for the total magnetization: 3.2 μB/f.u.

Cell lengths 5.5720, 5.5720, 6.1449 Å; angles 99.72, 99.72, 119.70 degrees
Last column: nearest neighbours and their distance in Å.
Element x y z (fractional)
O 0.5881 0.9448 0.3055  2 Ni 2.09-2.21, 1 Pb 2.25
O 0.4119 0.0552 0.6945  2 Ni 2.09-2.21, 1 Pb 2.25
O 0.7248 0.7248 0.6904  2 Ni 2.12, 1 Pb 2.23
O 0.2752 0.2752 0.3096  2 Ni 2.12, 1 Pb 2.23
O 0.9448 0.5881 0.3055  2 Ni 2.09-2.21, 1 Pb 2.25
O 0.0552 0.4119 0.6945  2 Ni 2.09-2.21, 1 Pb 2.25
Ni 0.6650 0.3350 0.5000  6 O 2.09-2.21
Ni 0.3350 0.6650 0.5000  6 O 2.09-2.21
Tl 0.8280 0.1720 0.0000  6 O 2.44-2.62
Tl 0.1720 0.8280 0.0000  6 O 2.44-2.62
Pb 0.0000 0.0000 0.5000  6 O 2.23-2.25

# 4
Density functional theory data (PBE+U) for crystalline V2Ni2PbO8 at its relaxed geometry.

Results
The total energy comes out at -6.458 eV/atom. As for the total magnetization: 4.0 μB/f.u.

Cell lengths 8.5102, 9.7824, 9.7824 Å; angles 79.09, 64.22, 64.22 degrees
Last column: nearest neighbours and their distance in Å.
Element x y z (fractional)
O 0.3297 0.0270 0.6566  1 V 1.76
O 0.1980 0.3580 0.6538  1 V 1.75
O 0.1018 0.8580 0.8462  1 V 1.75
O 0.0182 0.3331 0.0089  1 V 1.76
O 0.9043 0.1719 0.8225  1 V 1.73
O 0.3988 0.1775 0.8281  1 V 1.73
O 0.3060 0.1538 0.1420  1 V 1.75
O 0.8297 0.6566 0.0270  1 V 1.76
O 0.6980 0.6538 0.3580  1 V 1.75
O 0.6018 0.8462 0.8580  1 V 1.75
O 0.5182 0.0089 0.3331  1 V 1.76
O 0.4769 0.6775 0.6719  1 V 1.73
O 0.5133 0.3434 0.9730  1 V 1.76
O 0.4043 0.8225 0.1719  1 V 1.73
O 0.3601 0.6669 0.9911  1 V 1.76
O 0.6068 0.4730 0.1566  1 V 1.76
O 0.8060 0.1420 0.1538  1 V 1.75
O 0.3263 0.3281 0.3225  1 V 1.73
O 0.9769 0.6719 0.6775  1 V 1.73
O 0.2770 0.8331 0.4911  1 V 1.76
O 0.8988 0.8281 0.1775  1 V 1.73
O 0.2098 0.6420 0.3462  1 V 1.75
O 0.8601 0.9911 0.6669  1 V 1.76
O 0.1013 0.5089 0.1669  1 V 1.76
O 0.6013 0.1669 0.5089  1 V 1.76
O 0.8263 0.3225 0.3281  1 V 1.73
O 0.7098 0.3462 0.6420  1 V 1.75
O 0.7770 0.4911 0.8331  1 V 1.76
O 0.0133 0.9730 0.3434  1 V 1.76
O 0.1068 0.1566 0.4730  1 V 1.76
O 0.7363 0.8434 0.5270  1 V 1.76
O 0.2363 0.5270 0.8434  1 V 1.76
Pb 0.0133 0.5000 0.5000  4 O 2.46-2.47
Pb 0.2633 0.0000 0.0000  4 O 2.46-2.47
Pb 0.7633 0.0000 0.0000  4 O 2.46-2.47
Pb 0.5133 0.5000 0.5000  4 O 2.46-2.47
Ni 0.0999 0.0045 0.6604  6 O 2.05-2.13
Ni 0.0104 0.5045 0.8396  6 O 2.05-2.13
Ni 0.5104 0.8396 0.5045  6 O 2.05-2.13
Ni 0.7648 0.9955 0.3396  6 O 2.05-2.13
Ni 0.5999 0.6604 0.0045  6 O 2.05-2.13
Ni 0.3544 0.4955 0.1604  6 O 2.05-2.13
Ni 0.8544 0.1604 0.4955  6 O 2.05-2.13
Ni 0.2648 0.3396 0.9955  6 O 2.05-2.13
V 0.2212 0.8174 0.3426  4 O 1.73-1.76
V 0.2886 0.6826 0.8426  4 O 1.73-1.76
V 0.7886 0.8426 0.6826  4 O 1.73-1.76
V 0.3138 0.1574 0.3174  4 O 1.73-1.76
V 0.8812 0.6574 0.1826  4 O 1.73-1.76
V 0.3812 0.1826 0.6574  4 O 1.73-1.76
V 0.7212 0.3426 0.8174  4 O 1.73-1.76
V 0.8138 0.3174 0.1574  4 O 1.73-1.76